[1]
Density functional theory data (GGA-PBE) for a relaxed CoTcHg2 crystal.

Cell and atoms, written as POSCAR:
```
CoTcHg2
1.0
-4.445 -2.569 1.436
0.563 -5.143 1.287
1.633 4.925 1.226
Co Hg Tc
1 2 1
direct
0.250 0.750 0.500 Co
0.016 0.016 0.000 Hg
0.484 0.484 0.000 Hg
0.750 0.250 0.500 Tc
```

Relative energy among the computed polymorphs: 382 meV/atom

***

[2]
Density functional theory data (GGA-PBE) for a relaxed Li2HfSbO6 crystal.

Cell and atoms, written as POSCAR:
```
Li2HfSbO6
1.0
5.252 0.000 0.000
2.626 4.549 0.000
2.625 1.517 4.719
Li Hf Sb O
2 1 1 6
direct
0.539 0.539 0.385 Li
0.033 0.033 0.902 Li
0.816 0.816 0.552 Hf
0.320 0.320 0.039 Sb
0.581 0.204 0.268 O
0.204 0.947 0.268 O
0.947 0.581 0.268 O
0.431 0.697 0.778 O
0.697 0.093 0.778 O
0.093 0.431 0.778 O
```

Raw formation energy: -2107 meV per atom

***

[3]
Density functional theory data (GGA-PBE) for a relaxed K2AsAu crystal.

Cell and atoms, written as POSCAR:
```
K2AsAu
1.0
-5.008 5.027 -0.691
-1.211 -5.087 -2.195
-3.323 -0.082 1.989
As Au K
1 1 2
direct
0.000 0.500 0.500 As
0.500 0.500 0.000 Au
0.000 0.000 0.000 K
0.500 0.000 0.500 K
```

Energy: -2.677 eV/atom

***

[4]
Density functional theory data (GGA-PBE) for a relaxed Pu2Ge3Pt12Rh crystal.

Cell and atoms, written as POSCAR:
```
Pu2Ge3Pt12Rh
1.0
-7.593 -1.218 0.922
-2.705 -6.703 -2.781
-1.948 -5.309 5.292
Pu Ge Pt Rh
2 3 12 1
direct
0.614 0.614 0.614 Pu
0.386 0.386 0.386 Pu
0.500 0.000 0.000 Ge
0.000 0.500 0.000 Ge
0.000 0.000 0.500 Ge
0.370 0.370 0.890 Pt
0.858 0.858 0.384 Pt
0.384 0.858 0.858 Pt
0.890 0.370 0.370 Pt
0.858 0.384 0.858 Pt
0.370 0.890 0.370 Pt
0.630 0.630 0.110 Pt
0.142 0.142 0.616 Pt
0.616 0.142 0.142 Pt
0.110 0.630 0.630 Pt
0.142 0.616 0.142 Pt
0.630 0.110 0.630 Pt
0.000 0.000 0.000 Rh
```

Energy: -6.953 eV/atom

***

[5]
Density functional theory data (GGA-PBE) for a relaxed K2AcAgF6 crystal.

Cell and atoms, written as POSCAR:
```
K2AcAgF6
1.0
6.484 0.000 -0.252
0.000 6.597 0.000
-0.288 0.000 9.527
K Ac Ag F
4 2 2 12
direct
0.030 0.948 0.238 K
0.530 0.552 0.738 K
0.970 0.052 0.762 K
0.470 0.448 0.262 K
0.500 0.000 0.000 Ac
0.000 0.500 0.500 Ac
0.500 0.000 0.500 Ag
0.000 0.500 0.000 Ag
0.301 0.720 0.084 F
0.801 0.780 0.584 F
0.699 0.280 0.916 F
0.199 0.220 0.416 F
0.295 0.703 0.444 F
0.795 0.797 0.944 F
0.705 0.297 0.556 F
0.205 0.203 0.056 F
0.862 0.576 0.265 F
0.362 0.924 0.765 F
0.138 0.424 0.735 F
0.638 0.076 0.235 F
```

Raw formation energy: -2926 meV per atom

***

[6]
Density functional theory data (GGA-PBE) for a relaxed V3MoW3 crystal.

Cell and atoms, written as POSCAR:
```
V3MoW3
1.0
-1.255 -2.352 4.503
-1.729 -2.853 -4.032
7.333 -4.218 -0.160
V Mo W
6 2 6
direct
0.747 0.747 0.000 V
0.000 0.500 0.745 V
0.500 0.000 0.745 V
0.000 0.500 0.255 V
0.500 0.000 0.255 V
0.253 0.253 0.000 V
0.000 0.000 0.748 Mo
0.000 0.000 0.252 Mo
0.500 0.500 0.306 W
0.211 0.789 0.500 W
0.789 0.211 0.500 W
0.255 0.745 0.000 W
0.745 0.255 0.000 W
0.500 0.500 0.694 W
```

Relative energy among the computed polymorphs: 396 meV/atom

***

[7]
Density functional theory data (GGA-PBE) for a relaxed TmPuZnCo crystal.

Cell and atoms, written as POSCAR:
```
TmPuZnCo
1.0
4.846 0.000 0.000
2.423 4.197 0.000
2.423 1.399 3.957
Zn Tm Co Pu
1 1 1 1
direct
0.000 0.000 0.000 Zn
0.250 0.250 0.250 Tm
0.500 0.500 0.500 Co
0.750 0.750 0.750 Pu
```

Energy: -6.884 eV/atom

***

[8]
Density functional theory data (GGA-PBE) for a relaxed SrPm4Ga4 crystal.

Cell and atoms, written as POSCAR:
```
SrPm4Ga4
1.0
6.109 0.000 0.000
0.000 9.575 0.000
0.000 0.000 9.575
Sr Pm Ga
2 8 8
direct
0.000 0.000 0.000 Sr
0.500 0.500 0.500 Sr
0.377 0.334 0.904 Pm
0.877 0.596 0.834 Pm
0.377 0.666 0.096 Pm
0.123 0.166 0.596 Pm
0.623 0.904 0.666 Pm
0.123 0.834 0.404 Pm
0.877 0.404 0.166 Pm
0.623 0.096 0.334 Pm
0.624 0.783 0.351 Ga
0.624 0.217 0.649 Ga
0.124 0.851 0.717 Ga
0.876 0.283 0.851 Ga
0.876 0.717 0.149 Ga
0.376 0.351 0.217 Ga
0.376 0.649 0.783 Ga
0.124 0.149 0.283 Ga
```

Energy: -3.977 eV/atom

***

[9]
Density functional theory data (GGA-PBE) for a relaxed LaPm2Tm3Se6 crystal.

Cell and atoms, written as POSCAR:
```
LaPm2Tm3Se6
1.0
4.057 0.000 0.000
0.000 8.407 0.133
-2.029 -2.597 8.702
La Pm Tm Se
1 2 3 6
direct
0.500 0.000 0.000 La
0.832 0.665 0.665 Pm
0.168 0.335 0.335 Pm
0.500 0.500 0.000 Tm
0.834 0.167 0.668 Tm
0.166 0.833 0.332 Tm
0.327 0.925 0.655 Se
0.663 0.594 0.325 Se
0.673 0.075 0.345 Se
0.997 0.265 0.994 Se
0.003 0.735 0.006 Se
0.337 0.406 0.675 Se
```

Raw formation energy: -1784 meV per atom

***

[10]
Density functional theory data (GGA-PBE) for a relaxed Ac6Rh2AuBr2 crystal.

Cell and atoms, written as POSCAR:
```
Ac6Rh2AuBr2
1.0
7.691 0.012 0.109
-3.791 6.692 0.109
-1.356 -2.331 7.799
Ac Rh Au Br
6 2 1 2
direct
0.712 0.712 0.705 Ac
0.074 0.418 0.706 Ac
0.288 0.288 0.295 Ac
0.418 0.074 0.706 Ac
0.926 0.582 0.294 Ac
0.582 0.926 0.294 Ac
0.330 0.670 0.500 Rh
0.670 0.330 0.500 Rh
0.000 0.000 0.500 Au
0.837 0.163 0.000 Br
0.163 0.837 0.000 Br
```

Raw formation energy: -941 meV per atom

***

[11]
Density functional theory data (GGA-PBE) for a relaxed HoPuP2O8 crystal.

Cell and atoms, written as POSCAR:
```
HoPuP2O8
1.0
5.274 0.000 0.000
-2.637 4.567 0.000
0.000 0.000 7.086
Ho Pu P O
1 1 2 8
direct
0.000 0.000 0.500 Ho
0.000 0.000 0.000 Pu
0.667 0.333 0.203 P
0.333 0.667 0.797 P
0.333 0.667 0.012 O
0.347 0.173 0.279 O
0.827 0.173 0.279 O
0.667 0.333 0.988 O
0.173 0.827 0.721 O
0.653 0.827 0.721 O
0.173 0.347 0.721 O
0.827 0.653 0.279 O
```

Raw formation energy: -2775 meV per atom

***

[12]
Density functional theory data (GGA-PBE) for a relaxed ZrHg2H crystal.

Cell and atoms, written as POSCAR:
```
ZrHg2H
1.0
-5.275 6.720 -2.679
1.122 -2.516 -8.519
-3.625 0.942 -5.460
H Hg Zr
2 4 2
direct
0.500 0.500 0.000 H
0.250 0.750 0.500 H
0.507 0.125 0.250 Hg
0.243 0.625 0.250 Hg
0.375 0.493 0.750 Hg
0.875 0.757 0.750 Hg
0.000 0.000 0.000 Zr
0.750 0.250 0.500 Zr
```

Relative energy among the computed polymorphs: 0 meV/atom

***

[13]
Density functional theory data (GGA-PBE) for a relaxed CeHf2Mg crystal.

Cell and atoms, written as POSCAR:
```
CeHf2Mg
1.0
3.144 0.000 0.428
1.543 2.739 0.428
0.086 0.051 11.127
Ce Hf Mg
1 2 1
direct
0.005 0.005 0.985 Ce
0.833 0.833 0.501 Hf
0.425 0.425 0.724 Hf
0.248 0.248 0.257 Mg
```

Relative energy among the computed polymorphs: 0 meV/atom

***

[14]
Density functional theory data (GGA-PBE) for a relaxed HfTlS2 crystal.

Cell and atoms, written as POSCAR:
```
HfTlS2
1.0
2.072 0.000 9.267
-1.036 1.794 9.267
-1.036 -1.794 9.267
Tl Hf S
1 1 2
direct
0.000 0.000 0.000 Tl
0.500 0.500 0.500 Hf
0.887 0.887 0.887 S
0.113 0.113 0.113 S
```

Raw formation energy: -1180 meV per atom

***

[15]
Density functional theory data (GGA-PBE) for a relaxed Pm4Mg2Tl crystal.

Cell and atoms, written as POSCAR:
```
Pm4Mg2Tl
1.0
-4.011 4.908 -1.935
-1.287 -5.424 -3.582
-1.021 -1.261 6.425
Pm Mg Tl
4 2 1
direct
0.500 0.000 0.000 Pm
0.500 0.500 0.500 Pm
0.000 0.000 0.500 Pm
0.000 0.500 0.000 Pm
0.500 0.500 0.000 Mg
0.500 0.000 0.500 Mg
0.000 0.000 0.000 Tl
```

Energy: -3.547 eV/atom

***

[16]
Density functional theory data (GGA-PBE) for a relaxed Ho6Co2Te crystal.

Cell and atoms, written as POSCAR:
```
Ho6Co2Te
1.0
-1.119 5.823 1.797
-5.208 3.458 -6.822
-9.046 0.014 1.946
Ho Co Te
12 4 2
direct
0.315 0.681 0.557 Ho
0.185 0.443 0.319 Ho
0.685 0.319 0.443 Ho
0.815 0.557 0.681 Ho
0.804 0.952 0.429 Ho
0.696 0.571 0.048 Ho
0.196 0.048 0.571 Ho
0.304 0.429 0.952 Ho
0.129 0.803 0.984 Ho
0.371 0.016 0.197 Ho
0.871 0.197 0.016 Ho
0.629 0.984 0.803 Ho
0.968 0.764 0.754 Co
0.532 0.246 0.236 Co
0.032 0.236 0.246 Co
0.468 0.754 0.764 Co
0.250 0.306 0.694 Te
0.750 0.694 0.306 Te
```

Raw formation energy: -338 meV per atom
Relative energy among the computed polymorphs: 32 meV/atom

***

[17]
Density functional theory data (GGA-PBE) for a relaxed HoZnGaNi crystal.

Cell and atoms, written as POSCAR:
```
HoZnGaNi
1.0
-1.526 3.912 -1.746
-1.793 0.079 -4.178
-4.467 0.657 -0.546
Ni Zn Ho Ga
1 1 1 1
direct
0.250 0.250 0.250 Ni
0.750 0.750 0.750 Zn
0.000 0.000 0.000 Ho
0.500 0.500 0.500 Ga
```

Energy: -4.042 eV/atom

***

[18]
Density functional theory data (GGA-PBE) for a relaxed Pr2HoIr9 crystal.

Cell and atoms, written as POSCAR:
```
Pr2HoIr9
1.0
-0.800 4.142 -3.295
-1.495 -0.861 -5.067
-9.317 1.408 -0.316
Pr Ho Ir
2 1 9
direct
0.861 0.861 0.418 Pr
0.139 0.139 0.582 Pr
0.000 0.000 0.000 Ho
0.668 0.668 0.996 Ir
0.332 0.332 0.004 Ir
0.500 0.500 0.500 Ir
0.422 0.422 0.240 Ir
0.917 0.422 0.240 Ir
0.422 0.917 0.240 Ir
0.578 0.578 0.760 Ir
0.578 0.083 0.760 Ir
0.083 0.578 0.760 Ir
```

Energy: -8.324 eV/atom

***

[19]
Density functional theory data (GGA-PBE) for a relaxed Eu3Ta crystal.

Cell and atoms, written as POSCAR:
```
Eu3Ta
1.0
5.561 0.000 0.000
2.781 4.816 0.000
2.781 1.605 4.541
Eu Ta
3 1
direct
0.250 0.250 0.250 Eu
0.750 0.750 0.750 Eu
0.500 0.500 0.500 Eu
0.000 0.000 0.000 Ta
```

Relative energy among the computed polymorphs: 10 meV/atom

***

[20]
Density functional theory data (GGA-PBE) for a relaxed Li5TmPd6 crystal.

Cell and atoms, written as POSCAR:
```
Li5TmPd6
1.0
-0.708 -4.241 0.794
2.337 0.684 5.733
-5.584 3.507 1.858
Tm Pd Li
1 6 5
direct
0.000 0.000 0.000 Tm
0.828 0.740 0.657 Pd
0.828 0.260 0.657 Pd
0.500 0.270 0.000 Pd
0.500 0.730 0.000 Pd
0.172 0.740 0.343 Pd
0.172 0.260 0.343 Pd
0.667 0.500 0.333 Li
0.329 0.000 0.658 Li
0.000 0.500 0.000 Li
0.671 0.000 0.342 Li
0.333 0.500 0.667 Li
```

Energy: -4.323 eV/atom

***

[21]
Density functional theory data (GGA-PBE) for a relaxed BaLaPr2Hg4 crystal.

Cell and atoms, written as POSCAR:
```
BaLaPr2Hg4
1.0
-3.416 4.202 -1.349
-1.894 0.488 -5.226
-9.042 -3.659 -0.044
Ba La Pr Hg
1 1 2 4
direct
0.000 0.000 0.000 Ba
0.500 0.500 0.500 La
0.751 0.751 0.746 Pr
0.249 0.249 0.254 Pr
0.381 0.381 0.857 Hg
0.871 0.871 0.387 Hg
0.129 0.129 0.613 Hg
0.619 0.619 0.143 Hg
```

Energy: -2.652 eV/atom

***

[22]
Density functional theory data (GGA-PBE) for a relaxed Ac2NdPt3 crystal.

Cell and atoms, written as POSCAR:
```
Ac2NdPt3
1.0
4.221 -0.002 -0.962
-0.220 4.216 -0.962
-0.014 -0.013 9.682
Ac Nd Pt
2 1 3
direct
0.100 0.101 0.205 Ac
0.769 0.770 0.543 Ac
0.434 0.436 0.874 Nd
0.934 0.936 0.874 Pt
0.271 0.272 0.546 Pt
0.598 0.599 0.202 Pt
```

Energy: -6.306 eV/atom

***

[23]
Density functional theory data (GGA-PBE) for a relaxed LiGdAl4 crystal.

Cell and atoms, written as POSCAR:
```
LiGdAl4
1.0
-2.994 2.790 3.685
-2.135 -2.608 4.355
2.016 0.946 5.037
Gd Al Li
1 4 1
direct
0.000 0.000 0.000 Gd
0.626 0.626 0.123 Al
0.626 0.123 0.626 Al
0.626 0.626 0.626 Al
0.124 0.626 0.626 Al
0.250 0.250 0.250 Li
```

Energy: -5.436 eV/atom